Here is crystalline NdDy4Er6 at its relaxed geometry from Alexandria. Energies are from PBE.

The structure in CIF format:
```
data_NdDy4Er6
_chemical_formula_sum 'Nd2 Dy8 Er12'
_cell_length_a 7.6677
_cell_length_b 7.6677
_cell_length_c 12.8484
_cell_angle_alpha 90.00
_cell_angle_beta 90.00
_cell_angle_gamma 90.00
_space_group_name_H-M_alt 'I -4 2 m'
_space_group_IT_number 121
_space_group_name_Hall 'I -4 2'
loop_
_atom_site_label
_atom_site_fract_x
_atom_site_fract_y
_atom_site_fract_z
Nd1 0.0000 0.0000 0.0000
Dy1 0.1667 0.1667 0.4248
Er1 0.0000 0.5000 0.0000
Er2 0.2493 0.2493 0.6855
```

For the formation energy, the calculation gives 5.014 eV per formula unit. Its total energy is -4.14 eV/atom.

---

Here is crystalline Nd2DyEr4 at its relaxed geometry from Alexandria. Energies are from PBE.

The structure in CIF format:
```
data_Nd2DyEr4
_chemical_formula_sum 'Nd4 Dy2 Er8'
_cell_length_a 6.0620
_cell_length_b 8.3913
_cell_length_c 9.5068
_cell_angle_alpha 88.41
_cell_angle_beta 78.49
_cell_angle_gamma 72.44
_space_group_name_H-M_alt 'P 1'
_space_group_IT_number 1
loop_
_space_group_symop_operation_xyz
'x,y,z'
loop_
_atom_site_label
_atom_site_fract_x
_atom_site_fract_y
_atom_site_fract_z
Nd1 0.0000 0.0000 0.0000
Nd2 0.0060 0.8848 0.3534
Nd3 0.1564 0.4882 0.4932
Nd4 0.2659 0.0430 0.6253
Dy1 0.1155 0.5503 0.1235
Dy2 0.9058 0.4183 0.8466
Er1 0.2776 0.1526 0.2633
Er2 0.3623 0.6250 0.7730
Er3 0.4652 0.2090 0.9062
Er4 0.5502 0.7751 0.0669
Er5 0.5986 0.6850 0.4193
Er6 0.6710 0.3621 0.1978
Er7 0.7209 0.2630 0.5501
Er8 0.8034 0.8360 0.7151
```

For the formation energy, the calculation gives 0.483 eV per formula unit. Its total energy is -4.56 eV/atom.

---

Here is crystalline NdDy5Er at its relaxed geometry from Alexandria. Energies are from PBE.

The structure in CIF format:
```
data_NdDy5Er
_chemical_formula_sum 'Nd2 Dy10 Er2'
_cell_length_a 5.7676
_cell_length_b 8.6144
_cell_length_c 11.9255
_cell_angle_alpha 90.00
_cell_angle_beta 90.00
_cell_angle_gamma 90.00
_space_group_name_H-M_alt 'I m m m'
_space_group_IT_number 71
_space_group_name_Hall '-I 2 2'
loop_
_atom_site_label
_atom_site_fract_x
_atom_site_fract_y
_atom_site_fract_z
Nd1 0.0000 0.0000 0.0000
Dy1 0.0000 0.0000 0.2451
Dy2 0.0000 0.3228 0.0000
Dy3 0.0000 0.5000 0.5000
Er1 0.0000 0.0000 0.5000
```

For the formation energy, the calculation gives 7.606 eV per formula unit. Its total energy is -3.53 eV/atom.

---

Here is crystalline Nd12Dy7Er at its relaxed geometry from Alexandria. Energies are from PBE.

The structure in CIF format:
```
data_Nd12Dy7Er
_chemical_formula_sum 'Nd36 Dy21 Er3'
_cell_length_a 19.6635
_cell_length_b 19.6635
_cell_length_c 6.2396
_cell_angle_alpha 90.00
_cell_angle_beta 90.00
_cell_angle_gamma 120.00
_space_group_name_H-M_alt 'R -3 m'
_space_group_IT_number 166
_space_group_name_Hall '-R 3 2"'
loop_
_atom_site_label
_atom_site_fract_x
_atom_site_fract_y
_atom_site_fract_z
Nd1 0.0000 0.4123 0.0000
Nd2 0.0978 0.5489 0.4642
Dy1 0.0000 0.0000 0.0000
Dy2 0.0815 0.1630 0.2938
Er1 0.0000 0.0000 0.5000
```

For the formation energy, the calculation gives 4.575 eV per formula unit. Its total energy is -4.47 eV/atom.

---

Here is crystalline NdDy4Er7 at its relaxed geometry from Alexandria. Energies are from PBE.

The structure in CIF format:
```
data_NdDy4Er7
_chemical_formula_sum 'Nd2 Dy8 Er14'
_cell_length_a 12.0242
_cell_length_b 5.8256
_cell_length_c 12.5620
_cell_angle_alpha 90.00
_cell_angle_beta 117.95
_cell_angle_gamma 90.00
_space_group_name_H-M_alt 'C 1 2/m 1'
_space_group_IT_number 12
loop_
_space_group_symop_operation_xyz
'x,y,z'
'-x,-y,-z'
'-x,y,-z'
'x,-y,z'
'x+1/2,y+1/2,z'
'-x+1/2,-y+1/2,-z'
'-x+1/2,y+1/2,-z'
'x+1/2,-y+1/2,z'
loop_
_atom_site_label
_atom_site_fract_x
_atom_site_fract_y
_atom_site_fract_z
Nd1 0.0000 0.0000 0.0000
Dy1 0.1324 0.5000 0.7747
Dy2 0.2480 0.0000 0.6824
Er1 0.0000 0.5000 0.0000
Er2 0.0596 0.0000 0.3289
Er3 0.1348 0.5000 0.5030
Er4 0.2111 0.0000 0.9227
```

For the formation energy, the calculation gives 3.354 eV per formula unit. Its total energy is -4.31 eV/atom.

---

Here is crystalline Nd4DyEr5 at its relaxed geometry from Alexandria. Energies are from PBE.

The structure in CIF format:
```
data_Nd4DyEr5
_chemical_formula_sum 'Nd4 Dy1 Er5'
_cell_length_a 3.5205
_cell_length_b 8.7309
_cell_length_c 11.2617
_cell_angle_alpha 90.08
_cell_angle_beta 90.00
_cell_angle_gamma 101.56
_space_group_name_H-M_alt 'P -1'
_space_group_IT_number 2
loop_
_space_group_symop_operation_xyz
'x,y,z'
'-x,-y,-z'
loop_
_atom_site_label
_atom_site_fract_x
_atom_site_fract_y
_atom_site_fract_z
Nd1 0.0322 0.0646 0.2494
Nd2 0.3441 0.6839 0.2501
Dy1 0.5000 0.0000 0.5000
Er1 0.1724 0.3461 0.0480
Er2 0.1728 0.3469 0.4508
Er3 0.5000 0.0000 0.0000
```

For the formation energy, the calculation gives 1.931 eV per formula unit. Its total energy is -4.46 eV/atom.

---

Here is crystalline Nd2DyEr at its relaxed geometry from Alexandria. Energies are from PBE.

The structure in CIF format:
```
data_Nd2DyEr
_chemical_formula_sum 'Nd6 Dy3 Er3'
_cell_length_a 3.6195
_cell_length_b 3.6195
_cell_length_c 35.0120
_cell_angle_alpha 90.00
_cell_angle_beta 90.00
_cell_angle_gamma 120.00
_space_group_name_H-M_alt 'R 3 m'
_space_group_IT_number 160
_space_group_name_Hall 'R 3 -2"'
loop_
_atom_site_label
_atom_site_fract_x
_atom_site_fract_y
_atom_site_fract_z
Nd1 0.0000 0.0000 0.0000
Nd2 0.0000 0.0000 0.1669
Dy1 0.0000 0.0000 0.7503
Er1 0.0000 0.0000 0.5828
```

For the formation energy, the calculation gives 0.077 eV per formula unit. Its total energy is -4.66 eV/atom.

---

Here is crystalline Nd3Dy8Er4 at its relaxed geometry from Alexandria. Energies are from PBE.

The structure in CIF format:
```
data_Nd3Dy8Er4
_chemical_formula_sum 'Nd6 Dy16 Er8'
_cell_length_a 13.3920
_cell_length_b 12.7847
_cell_length_c 6.7387
_cell_angle_alpha 90.00
_cell_angle_beta 120.17
_cell_angle_gamma 90.00
_space_group_name_H-M_alt 'C 1 2/m 1'
_space_group_IT_number 12
loop_
_space_group_symop_operation_xyz
'x,y,z'
'-x,-y,-z'
'-x,y,-z'
'x,-y,z'
'x+1/2,y+1/2,z'
'-x+1/2,-y+1/2,-z'
'-x+1/2,y+1/2,-z'
'x+1/2,-y+1/2,z'
loop_
_atom_site_label
_atom_site_fract_x
_atom_site_fract_y
_atom_site_fract_z
Nd1 0.0000 0.0000 0.0000
Nd2 0.2500 0.2500 0.5000
Dy1 0.0000 0.1419 0.5000
Dy2 0.0000 0.2480 0.0000
Dy3 0.2299 0.0000 0.5049
Dy4 0.2419 0.0000 0.9945
Er1 0.0000 0.5000 0.0000
Er2 0.0000 0.5000 0.5000
Er3 0.2500 0.2500 0.0000
```

For the formation energy, the calculation gives 5.941 eV per formula unit. Its total energy is -4.23 eV/atom.

---

Here is crystalline Nd12DyEr6 at its relaxed geometry from Alexandria. Energies are from PBE.

The structure in CIF format:
```
data_Nd12DyEr6
_chemical_formula_sum 'Nd36 Dy3 Er18'
_cell_length_a 15.7626
_cell_length_b 15.7626
_cell_length_c 8.8732
_cell_angle_alpha 90.00
_cell_angle_beta 90.00
_cell_angle_gamma 120.00
_space_group_name_H-M_alt 'R -3'
_space_group_IT_number 148
_space_group_name_Hall '-R 3'
loop_
_atom_site_label
_atom_site_fract_x
_atom_site_fract_y
_atom_site_fract_z
Nd1 0.0354 0.7560 0.3361
Nd2 0.0710 0.5090 0.6663
Dy1 0.0000 0.0000 0.0000
Er1 0.0170 0.8796 0.6656
```

For the formation energy, the calculation gives 0.320 eV per formula unit. Its total energy is -4.68 eV/atom.

---

Here is crystalline NdDy7Er4 at its relaxed geometry from Alexandria. Energies are from PBE.

The structure in CIF format:
```
data_NdDy7Er4
_chemical_formula_sum 'Nd2 Dy14 Er8'
_cell_length_a 12.0096
_cell_length_b 5.8526
_cell_length_c 12.5745
_cell_angle_alpha 90.00
_cell_angle_beta 117.95
_cell_angle_gamma 90.00
_space_group_name_H-M_alt 'C 1 2/m 1'
_space_group_IT_number 12
loop_
_space_group_symop_operation_xyz
'x,y,z'
'-x,-y,-z'
'-x,y,-z'
'x,-y,z'
'x+1/2,y+1/2,z'
'-x+1/2,-y+1/2,-z'
'-x+1/2,y+1/2,-z'
'x+1/2,-y+1/2,z'
loop_
_atom_site_label
_atom_site_fract_x
_atom_site_fract_y
_atom_site_fract_z
Nd1 0.0000 0.0000 0.0000
Dy1 0.0000 0.5000 0.0000
Dy2 0.0585 0.0000 0.3301
Dy3 0.1341 0.5000 0.5039
Dy4 0.2108 0.0000 0.9220
Er1 0.1323 0.5000 0.7744
Er2 0.2485 0.5000 0.3156
```

For the formation energy, the calculation gives 3.336 eV per formula unit. Its total energy is -4.32 eV/atom.

---

Here is crystalline Nd6Dy5Er2 at its relaxed geometry from Alexandria. Energies are from PBE.

The structure in CIF format:
```
data_Nd6Dy5Er2
_chemical_formula_sum 'Nd12 Dy10 Er4'
_cell_length_a 11.6952
_cell_length_b 20.6388
_cell_length_c 3.6201
_cell_angle_alpha 90.00
_cell_angle_beta 90.00
_cell_angle_gamma 90.00
_space_group_name_H-M_alt 'P b a m'
_space_group_IT_number 55
loop_
_space_group_symop_operation_xyz
'x,y,z'
'-x,-y,-z'
'-x,-y,z'
'x,y,-z'
'x+1/2,-y+1/2,-z'
'-x+1/2,y+1/2,z'
'-x+1/2,y+1/2,-z'
'x+1/2,-y+1/2,z'
loop_
_atom_site_label
_atom_site_fract_x
_atom_site_fract_y
_atom_site_fract_z
Nd1 0.0612 0.0806 0.0000
Nd2 0.0840 0.3677 0.0000
Nd3 0.1721 0.6364 0.5000
Dy1 0.0000 0.5000 0.5000
Dy2 0.0921 0.2271 0.5000
Dy3 0.1974 0.9444 0.5000
Er1 0.1657 0.7903 0.0000
```

For the formation energy, the calculation gives 1.323 eV per formula unit. Its total energy is -4.57 eV/atom.

---

Here is crystalline Nd5DyEr3 at its relaxed geometry from Alexandria. Energies are from PBE.

The structure in CIF format:
```
data_Nd5DyEr3
_chemical_formula_sum 'Nd20 Dy4 Er12'
_cell_length_a 20.0825
_cell_length_b 6.3012
_cell_length_c 11.7310
_cell_angle_alpha 90.00
_cell_angle_beta 122.89
_cell_angle_gamma 90.00
_space_group_name_H-M_alt 'C 1 2/c 1'
_space_group_IT_number 15
loop_
_space_group_symop_operation_xyz
'x,y,z'
'-x,-y,-z'
'-x,y,-z+1/2'
'x,-y,z+1/2'
'x+1/2,y+1/2,z'
'-x+1/2,-y+1/2,-z'
'-x+1/2,y+1/2,-z+1/2'
'x+1/2,-y+1/2,z+1/2'
loop_
_atom_site_label
_atom_site_fract_x
_atom_site_fract_y
_atom_site_fract_z
Nd1 0.0000 0.0962 0.2500
Nd2 0.1384 0.1703 0.6599
Nd3 0.1801 0.3250 0.3311
Dy1 0.0000 0.3936 0.7500
Er1 0.0000 0.5000 0.0000
Er2 0.1757 0.2781 0.0265
```

For the formation energy, the calculation gives 2.494 eV per formula unit. Its total energy is -4.40 eV/atom.

---

Here is crystalline NdDyEr2 at its relaxed geometry from Alexandria. Energies are from PBE.

The structure in CIF format:
```
data_NdDyEr2
_chemical_formula_sum 'Nd1 Dy1 Er2'
_cell_length_a 3.5734
_cell_length_b 3.5734
_cell_length_c 11.4712
_cell_angle_alpha 90.00
_cell_angle_beta 90.00
_cell_angle_gamma 120.00
_space_group_name_H-M_alt 'P -3 m 1'
_space_group_IT_number 164
_space_group_name_Hall '-P 3 2"'
loop_
_atom_site_label
_atom_site_fract_x
_atom_site_fract_y
_atom_site_fract_z
Nd1 0.0000 0.0000 0.0000
Dy1 0.0000 0.0000 0.5000
Er1 0.3333 0.6667 0.7470
```

For the formation energy, the calculation gives 0.002 eV per formula unit. Its total energy is -4.62 eV/atom.

---

Here is crystalline Nd6Dy16Er7 at its relaxed geometry from Alexandria. Energies are from PBE.

The structure in CIF format:
```
data_Nd6Dy16Er7
_chemical_formula_sum 'Nd24 Dy64 Er28'
_cell_length_a 15.7649
_cell_length_b 15.7649
_cell_length_c 15.7649
_cell_angle_alpha 90.00
_cell_angle_beta 90.00
_cell_angle_gamma 90.00
_space_group_name_H-M_alt 'F m -3 m'
_space_group_IT_number 225
_space_group_name_Hall '-F 4 2 3'
loop_
_atom_site_label
_atom_site_fract_x
_atom_site_fract_y
_atom_site_fract_z
Nd1 0.0000 0.0000 0.2244
Dy1 0.1251 0.1251 0.3749
Dy2 0.1518 0.1518 0.1518
Er1 0.0000 0.0000 0.5000
Er2 0.0000 0.2500 0.2500
```

For the formation energy, the calculation gives 6.792 eV per formula unit. Its total energy is -4.39 eV/atom.

---

Here is crystalline Nd7DyEr12 at its relaxed geometry from Alexandria. Energies are from PBE.

The structure in CIF format:
```
data_Nd7DyEr12
_chemical_formula_sum 'Nd21 Dy3 Er36'
_cell_length_a 11.9368
_cell_length_b 11.9368
_cell_length_c 16.2240
_cell_angle_alpha 90.00
_cell_angle_beta 90.00
_cell_angle_gamma 120.00
_space_group_name_H-M_alt 'R -3'
_space_group_IT_number 148
_space_group_name_Hall '-R 3'
loop_
_atom_site_label
_atom_site_fract_x
_atom_site_fract_y
_atom_site_fract_z
Nd1 0.0000 0.0000 0.0000
Nd2 0.0552 0.1873 0.2887
Dy1 0.0000 0.0000 0.5000
Er1 0.0253 0.4488 0.2215
Er2 0.0520 0.5859 0.5830
```

For the formation energy, the calculation gives 4.616 eV per formula unit. Its total energy is -4.41 eV/atom.

---

Here is crystalline NdDy2Er2 at its relaxed geometry from Alexandria. Energies are from PBE.

The structure in CIF format:
```
data_NdDy2Er2
_chemical_formula_sum 'Nd2 Dy4 Er4'
_cell_length_a 9.3494
_cell_length_b 9.3494
_cell_length_c 3.7112
_cell_angle_alpha 90.00
_cell_angle_beta 90.00
_cell_angle_gamma 90.00
_space_group_name_H-M_alt 'P 4/m b m'
_space_group_IT_number 127
_space_group_name_Hall '-P 4 2ab'
loop_
_atom_site_label
_atom_site_fract_x
_atom_site_fract_y
_atom_site_fract_z
Nd1 0.0000 0.0000 0.0000
Dy1 0.1255 0.3745 0.0000
Er1 0.1713 0.6713 0.5000
```

For the formation energy, the calculation gives 0.414 eV per formula unit. Its total energy is -4.54 eV/atom.

---

Here is crystalline Nd3Dy7Er at its relaxed geometry from Alexandria. Energies are from PBE.

The structure in CIF format:
```
data_Nd3Dy7Er
_chemical_formula_sum 'Nd6 Dy14 Er2'
_cell_length_a 5.8612
_cell_length_b 11.1611
_cell_length_c 11.2388
_cell_angle_alpha 90.00
_cell_angle_beta 90.00
_cell_angle_gamma 90.00
_space_group_name_H-M_alt 'I m m m'
_space_group_IT_number 71
_space_group_name_Hall '-I 2 2'
loop_
_atom_site_label
_atom_site_fract_x
_atom_site_fract_y
_atom_site_fract_z
Nd1 0.0000 0.0000 0.0000
Nd2 0.0000 0.5000 0.2871
Dy1 0.0000 0.2040 0.1990
Dy2 0.0000 0.2933 0.5000
Dy3 0.0000 0.5000 0.0000
Er1 0.0000 0.0000 0.5000
```

For the formation energy, the calculation gives 2.979 eV per formula unit. Its total energy is -4.37 eV/atom.

---

Here is crystalline Nd6Dy8Er at its relaxed geometry from Alexandria. Energies are from PBE.

The structure in CIF format:
```
data_Nd6Dy8Er
_chemical_formula_sum 'Nd18 Dy24 Er3'
_cell_length_a 9.1261
_cell_length_b 9.1261
_cell_length_c 20.8670
_cell_angle_alpha 90.00
_cell_angle_beta 90.00
_cell_angle_gamma 120.00
_space_group_name_H-M_alt 'R -3'
_space_group_IT_number 148
_space_group_name_Hall '-R 3'
loop_
_atom_site_label
_atom_site_fract_x
_atom_site_fract_y
_atom_site_fract_z
Nd1 0.0611 0.2486 0.2100
Dy1 0.0000 0.0000 0.0768
Dy2 0.0811 0.5559 0.3070
Er1 0.0000 0.0000 0.5000
```

For the formation energy, the calculation gives 1.767 eV per formula unit. Its total energy is -4.55 eV/atom.

---

Here is crystalline NdDy2Er7 at its relaxed geometry from Alexandria. Energies are from PBE.

The structure in CIF format:
```
data_NdDy2Er7
_chemical_formula_sum 'Nd2 Dy4 Er14'
_cell_length_a 8.6672
_cell_length_b 16.1459
_cell_length_c 5.5387
_cell_angle_alpha 90.00
_cell_angle_beta 90.00
_cell_angle_gamma 90.00
_space_group_name_H-M_alt 'C m m m'
_space_group_IT_number 65
_space_group_name_Hall '-C 2 2'
loop_
_atom_site_label
_atom_site_fract_x
_atom_site_fract_y
_atom_site_fract_z
Nd1 0.0000 0.0000 0.0000
Dy1 0.0000 0.2970 0.5000
Er1 0.0000 0.2131 0.0000
Er2 0.0000 0.5000 0.5000
Er3 0.1765 0.1144 0.5000
```

For the formation energy, the calculation gives 7.098 eV per formula unit. Its total energy is -3.88 eV/atom.